P.
{
  "formula": "TiAgH",
  "functional": "PBE-GGA",
  "state": "relaxed",
  "cell": [[-1.455, 1.455, 8.911], [1.455, -1.455, 8.911], [1.455, 1.455, -8.911]],
  "species": ["Ti", "Ti", "Ag", "Ag", "H", "H"],
  "frac_coords": [[0.076, 0.076, 0.000], [0.924, 0.924, 0.000], [0.310, 0.310, 0.000], [0.690, 0.690, 0.000], [0.000, 0.500, 0.500], [0.500, 0.000, 0.500]],
  "m_tot_mub_per_cell": 0.0,
  "sg": "I4/mmm (139)"
}

Q.
{
  "formula": "TiAgH",
  "functional": "PBE-GGA",
  "state": "relaxed",
  "cell": [[2.974, 0.000, 0.000], [-1.487, 2.576, 0.000], [0.000, 0.000, 4.902]],
  "species": ["Ti", "Ag", "H"],
  "frac_coords": [[0.000, 0.000, 0.000], [0.667, 0.333, 0.475], [0.333, 0.667, 0.859]],
  "m_tot_mub_per_cell": 0.0,
  "sg": "P3m1 (156)"
}

Most stable structure, least stable structure: Q, P.